# 1
{
  "formula": "CaIn2P",
  "functional": "PBE",
  "state": "relaxed",
  "cell": [[1.8931, -5.0052, 0.0000], [1.8931, 5.0052, 0.0000], [0.0000, 0.0000, 10.7383]],
  "species": ["Ca", "Ca", "In", "In", "In", "In", "P", "P"],
  "frac_coords": [[0.1118, 0.8882, 0.7500], [0.8882, 0.1118, 0.2500], [0.3626, 0.6374, 0.5556], [0.3626, 0.6374, 0.9444], [0.6374, 0.3626, 0.0556], [0.6374, 0.3626, 0.4444], [0.1685, 0.8315, 0.2500], [0.8315, 0.1685, 0.7500]],
  "m_tot_mub_per_fu": 0.00,
  "volume_a3_per_cell": 203.50,
  "e_tot_ev_per_cell": -28.82,
  "dos_at_fermi_per_ev_atom": 0.42
}

=====

# 2
{
  "formula": "AlAsP2",
  "functional": "PBE",
  "state": "relaxed",
  "cell": [[1.7843, -2.5538, 0.0000], [1.7843, 2.5538, 0.0000], [0.0000, 0.0000, 7.4144]],
  "species": ["Al", "As", "P", "P"],
  "frac_coords": [[0.0000, 0.0000, 0.0000], [0.0000, 0.0000, 0.5000], [0.5000, 0.5000, 0.2300], [0.5000, 0.5000, 0.7700]],
  "e_above_lowest_polymorph_ev_per_atom": 0.448,
  "m_tot_mub_per_fu": 0.00,
  "volume_a3_per_cell": 67.57,
  "dos_at_fermi_per_ev_atom": 0.46
}

=====

# 3
{
  "formula": "TbPm6Sm12",
  "functional": "PBE",
  "state": "relaxed",
  "cell": [[6.0940, 3.5184, 5.0888], [-6.0940, 3.5184, 5.0888], [0.0000, -7.0368, 5.0888]],
  "species": ["Tb", "Pm", "Pm", "Pm", "Pm", "Pm", "Pm", "Sm", "Sm", "Sm", "Sm", "Sm", "Sm", "Sm", "Sm", "Sm", "Sm", "Sm", "Sm"],
  "frac_coords": [[0.0000, 0.0000, 0.0000], [0.0944, 0.2616, 0.6968], [0.2616, 0.6968, 0.0944], [0.3032, 0.9056, 0.7384], [0.6968, 0.0944, 0.2616], [0.7384, 0.3032, 0.9056], [0.9056, 0.7384, 0.3032], [0.0166, 0.3590, 0.1960], [0.1960, 0.0166, 0.3590], [0.2220, 0.5642, 0.4631], [0.3590, 0.1960, 0.0166], [0.4358, 0.5369, 0.7780], [0.4631, 0.2220, 0.5642], [0.5369, 0.7780, 0.4358], [0.5642, 0.4631, 0.2220], [0.6410, 0.8040, 0.9834], [0.7780, 0.4358, 0.5369], [0.8040, 0.9834, 0.6410], [0.9834, 0.6410, 0.8040]],
  "e_above_lowest_polymorph_ev_per_atom": 0.000,
  "m_tot_mub_per_fu": 0.00,
  "volume_a3_per_cell": 654.66,
  "dos_at_fermi_per_ev_atom": 1.61
}